Entry 1:
The following is a DFT calculation (PBE) of an optimized crystal structure of CrCd2Cl.

Formation energy without anion corrections: 17 meV/atom
SG: Cmm2
E above lowest polymorph: 0.045 eV/atom

Cell lengths 3.2359, 3.2359, 9.8841 Å; angles 90.00, 90.00, 117.80 degrees
Last column: nearest neighbours and their distance in Å.
Positions (direct):
Cr: 0.5000 0.5000 0.7349  2 Cl 2.36
Cl: 0.0000 0.0000 0.5667  2 Cr 2.36
Cd: 0.0000 0.0000 0.9685  2 Cr 2.85, 2 Cd 3.08
Cd: 0.5000 0.5000 0.2300  8 Cd 3.08-3.34

---

Entry 2:
The following is a DFT calculation (PBE) of an optimized crystal structure of Er4Hg3Rh.

SG: P4/mmm
E_form: -0.593 eV per atom

Cell lengths 3.5682, 3.5682, 14.8766 Å; angles 90.00, 90.00, 90.00 degrees
Last column: nearest neighbours and their distance in Å.
Positions (direct):
Rh: 0.5000 0.5000 0.0000  8 Er 2.99
Hg: 0.5000 0.5000 0.2440  8 Er 3.15-3.23
Hg: 0.5000 0.5000 0.5000  8 Er 3.17
Hg: 0.5000 0.5000 0.7560  8 Er 3.15-3.23
Er: 0.0000 0.0000 0.8921  4 Rh 2.99, 1 Er 3.21, 4 Hg 3.23
Er: 0.0000 0.0000 0.1079  4 Rh 2.99, 1 Er 3.21, 4 Hg 3.23
Er: 0.0000 0.0000 0.3710  8 Hg 3.15-3.17
Er: 0.0000 0.0000 0.6290  8 Hg 3.15-3.17